No. 1
{"formula": "PrZn4Rh2", "functional": "PBE-GGA", "state": "optimized geometry", "space_group": "P4_2/mnm, No. 136", "formation_enthalpy_0k_kj_per_mol_atoms": -45.06, "dos_ef_per_ev_cell": 6.1, "final_energy_ev_per_cell": -55.7, "lattice_angstrom": [[7.715, 0.000, 0.000], [0.000, 7.715, 0.000], [0.000, 0.000, 4.091]], "species": ["Pr", "Pr", "Zn", "Zn", "Zn", "Zn", "Zn", "Zn", "Zn", "Zn", "Rh", "Rh", "Rh", "Rh"], "fractional_positions": [[0.000, 0.000, 0.000], [0.500, 0.500, 0.500], [0.091, 0.349, 0.500], [0.151, 0.591, 0.000], [0.349, 0.091, 0.500], [0.409, 0.849, 0.000], [0.591, 0.151, 0.000], [0.651, 0.909, 0.500], [0.849, 0.409, 0.000], [0.909, 0.651, 0.500], [0.216, 0.784, 0.500], [0.284, 0.284, 0.000], [0.716, 0.716, 0.000], [0.784, 0.216, 0.500]]}

No. 2
{"formula": "Pr12Zn3Rh5", "functional": "PBE-GGA", "state": "optimized geometry", "space_group": "Ia-3d, No. 230", "formation_enthalpy_0k_kj_per_mol_atoms": -11.98, "dos_ef_per_ev_cell": 73.0, "final_energy_ev_per_cell": -401.7, "lattice_angstrom": [[-8.652, 8.652, 8.652], [8.652, -8.652, 8.652], [8.652, 8.652, -8.652]], "species": ["Pr", "Pr", "Pr", "Pr", "Pr", "Pr", "Pr", "Pr", "Pr", "Pr", "Pr", "Pr", "Pr", "Pr", "Pr", "Pr", "Pr", "Pr", "Pr", "Pr", "Pr", "Pr", "Pr", "Pr", "Pr", "Pr", "Pr", "Pr", "Pr", "Pr", "Pr", "Pr", "Pr", "Pr", "Pr", "Pr", "Pr", "Pr", "Pr", "Pr", "Pr", "Pr", "Pr", "Pr", "Pr", "Pr", "Pr", "Pr", "Zn", "Zn", "Zn", "Zn", "Zn", "Zn", "Zn", "Zn", "Zn", "Zn", "Zn", "Zn", "Rh", "Rh", "Rh", "Rh", "Rh", "Rh", "Rh", "Rh", "Rh", "Rh", "Rh", "Rh", "Rh", "Rh", "Rh", "Rh", "Rh", "Rh", "Rh", "Rh"], "fractional_positions": [[0.039, 0.213, 0.126], [0.039, 0.326, 0.913], [0.087, 0.626, 0.413], [0.087, 0.713, 0.674], [0.087, 0.874, 0.413], [0.087, 0.961, 0.674], [0.126, 0.039, 0.213], [0.126, 0.587, 0.913], [0.174, 0.213, 0.587], [0.174, 0.461, 0.587], [0.213, 0.126, 0.039], [0.213, 0.587, 0.174], [0.287, 0.326, 0.913], [0.287, 0.461, 0.374], [0.326, 0.913, 0.039], [0.326, 0.913, 0.287], [0.374, 0.287, 0.461], [0.374, 0.587, 0.913], [0.413, 0.087, 0.626], [0.413, 0.087, 0.874], [0.413, 0.826, 0.539], [0.413, 0.826, 0.787], [0.461, 0.374, 0.287], [0.461, 0.587, 0.174], [0.539, 0.413, 0.826], [0.539, 0.626, 0.713], [0.587, 0.174, 0.213], [0.587, 0.174, 0.461], [0.587, 0.913, 0.126], [0.587, 0.913, 0.374], [0.626, 0.413, 0.087], [0.626, 0.713, 0.539], [0.674, 0.087, 0.713], [0.674, 0.087, 0.961], [0.713, 0.539, 0.626], [0.713, 0.674, 0.087], [0.787, 0.413, 0.826], [0.787, 0.874, 0.961], [0.826, 0.539, 0.413], [0.826, 0.787, 0.413], [0.874, 0.413, 0.087], [0.874, 0.961, 0.787], [0.913, 0.039, 0.326], [0.913, 0.126, 0.587], [0.913, 0.287, 0.326], [0.913, 0.374, 0.587], [0.961, 0.674, 0.087], [0.961, 0.787, 0.874], [0.125, 0.250, 0.375], [0.125, 0.375, 0.750], [0.250, 0.375, 0.125], [0.250, 0.875, 0.625], [0.375, 0.125, 0.250], [0.375, 0.750, 0.125], [0.625, 0.250, 0.875], [0.625, 0.875, 0.750], [0.750, 0.125, 0.375], [0.750, 0.625, 0.875], [0.875, 0.625, 0.250], [0.875, 0.750, 0.625], [0.000, 0.000, 0.000], [0.000, 0.000, 0.500], [0.000, 0.500, 0.000], [0.000, 0.500, 0.500], [0.125, 0.750, 0.875], [0.125, 0.875, 0.250], [0.250, 0.125, 0.875], [0.250, 0.625, 0.375], [0.375, 0.250, 0.625], [0.375, 0.625, 0.750], [0.500, 0.000, 0.000], [0.500, 0.000, 0.500], [0.500, 0.500, 0.000], [0.500, 0.500, 0.500], [0.625, 0.375, 0.250], [0.625, 0.750, 0.375], [0.750, 0.375, 0.625], [0.750, 0.875, 0.125], [0.875, 0.125, 0.750], [0.875, 0.250, 0.125]]}

No. 3
{"formula": "Pr5ZnRh2", "functional": "PBE-GGA", "state": "optimized geometry", "space_group": "I4/mcm, No. 140", "formation_enthalpy_0k_kj_per_mol_atoms": -41.67, "dos_ef_per_ev_cell": 18.1, "final_energy_ev_per_cell": -86.7, "lattice_angstrom": [[-4.024, 4.024, 6.790], [4.024, -4.024, 6.790], [4.024, 4.024, -6.790]], "species": ["Pr", "Pr", "Pr", "Pr", "Pr", "Pr", "Pr", "Pr", "Pr", "Pr", "Zn", "Zn", "Rh", "Rh", "Rh", "Rh"], "fractional_positions": [[0.000, 0.000, 0.000], [0.026, 0.526, 0.828], [0.198, 0.026, 0.500], [0.302, 0.802, 0.828], [0.474, 0.302, 0.500], [0.500, 0.500, 0.000], [0.526, 0.698, 0.500], [0.698, 0.198, 0.172], [0.802, 0.974, 0.500], [0.974, 0.474, 0.172], [0.250, 0.250, 0.000], [0.750, 0.750, 0.000], [0.133, 0.367, 0.500], [0.367, 0.867, 0.235], [0.633, 0.133, 0.765], [0.867, 0.633, 0.500]]}

No. 4
{"formula": "Pr2ZnRh3", "functional": "PBE-GGA", "state": "optimized geometry", "de_polymorph_ev_per_fu": 0.000, "space_group": "P6_3/mmc, No. 194", "formation_enthalpy_0k_kj_per_mol_atoms": -59.72, "dos_ef_per_ev_cell": 7.0, "final_energy_ev_per_cell": -73.2, "lattice_angstrom": [[5.641, 0.000, 0.000], [-2.821, 4.886, 0.000], [0.000, 0.000, 8.330]], "species": ["Pr", "Pr", "Pr", "Pr", "Zn", "Zn", "Rh", "Rh", "Rh", "Rh", "Rh", "Rh"], "fractional_positions": [[0.333, 0.667, 0.061], [0.333, 0.667, 0.439], [0.667, 0.333, 0.561], [0.667, 0.333, 0.939], [0.000, 0.000, 0.000], [0.000, 0.000, 0.500], [0.166, 0.332, 0.750], [0.166, 0.834, 0.750], [0.332, 0.166, 0.250], [0.668, 0.834, 0.750], [0.834, 0.166, 0.250], [0.834, 0.668, 0.250]]}

No. 5
{"formula": "Pr6ZnRh3", "functional": "PBE-GGA", "state": "optimized geometry", "space_group": "P2_1/m, No. 11", "formation_enthalpy_0k_kj_per_mol_atoms": -41.58, "dos_ef_per_ev_cell": 18.3, "final_energy_ev_per_cell": -112.6, "lattice_angstrom": [[10.891, 0.000, 0.000], [0.000, 4.447, 0.000], [-4.516, 0.000, 11.653]], "species": ["Pr", "Pr", "Pr", "Pr", "Pr", "Pr", "Pr", "Pr", "Pr", "Pr", "Pr", "Pr", "Zn", "Zn", "Rh", "Rh", "Rh", "Rh", "Rh", "Rh"], "fractional_positions": [[0.023, 0.250, 0.389], [0.089, 0.250, 0.927], [0.239, 0.750, 0.308], [0.335, 0.750, 0.799], [0.369, 0.750, 0.098], [0.380, 0.250, 0.567], [0.620, 0.750, 0.433], [0.631, 0.250, 0.902], [0.665, 0.250, 0.201], [0.761, 0.250, 0.692], [0.911, 0.750, 0.073], [0.977, 0.750, 0.611], [0.425, 0.250, 0.292], [0.575, 0.750, 0.708], [0.092, 0.250, 0.173], [0.191, 0.750, 0.523], [0.391, 0.250, 0.957], [0.609, 0.750, 0.043], [0.809, 0.250, 0.477], [0.908, 0.750, 0.827]]}

No. 6
{"formula": "Pr5Zn4Rh", "functional": "PBE-GGA", "state": "optimized geometry", "space_group": "P4/mmm, No. 123", "formation_enthalpy_0k_kj_per_mol_atoms": -34.76, "dos_ef_per_ev_cell": 10.1, "final_energy_ev_per_cell": -39.9, "lattice_angstrom": [[3.693, 0.000, 0.000], [0.000, 3.693, 0.000], [0.000, 0.000, 18.386]], "species": ["Pr", "Pr", "Pr", "Pr", "Pr", "Zn", "Zn", "Zn", "Zn", "Rh"], "fractional_positions": [[0.000, 0.000, 0.000], [0.000, 0.000, 0.203], [0.000, 0.000, 0.409], [0.000, 0.000, 0.591], [0.000, 0.000, 0.797], [0.500, 0.500, 0.102], [0.500, 0.500, 0.303], [0.500, 0.500, 0.697], [0.500, 0.500, 0.898], [0.500, 0.500, 0.500]]}

No. 7
{"formula": "Pr6Zn2Rh", "functional": "PBE-GGA", "state": "optimized geometry", "space_group": "P2_1/c, No. 14", "formation_enthalpy_0k_kj_per_mol_atoms": -22.67, "dos_ef_per_ev_cell": 20.1, "final_energy_ev_per_cell": -81.4, "lattice_angstrom": [[6.319, 0.000, 0.000], [0.000, 9.524, 0.000], [-5.028, 0.000, 8.768]], "species": ["Pr", "Pr", "Pr", "Pr", "Pr", "Pr", "Pr", "Pr", "Pr", "Pr", "Pr", "Pr", "Zn", "Zn", "Zn", "Zn", "Rh", "Rh"], "fractional_positions": [[0.062, 0.184, 0.480], [0.062, 0.316, 0.980], [0.366, 0.673, 0.453], [0.366, 0.827, 0.953], [0.396, 0.028, 0.287], [0.396, 0.472, 0.787], [0.604, 0.528, 0.213], [0.604, 0.972, 0.713], [0.634, 0.173, 0.047], [0.634, 0.327, 0.547], [0.938, 0.684, 0.020], [0.938, 0.816, 0.520], [0.112, 0.095, 0.775], [0.112, 0.405, 0.275], [0.888, 0.595, 0.725], [0.888, 0.905, 0.225], [0.000, 0.000, 0.000], [0.000, 0.500, 0.500]]}

No. 8
{"formula": "Pr3ZnRh3", "functional": "PBE-GGA", "state": "optimized geometry", "space_group": "Cmcm, No. 63", "formation_enthalpy_0k_kj_per_mol_atoms": -62.71, "dos_ef_per_ev_cell": 12.5, "final_energy_ev_per_cell": -84.4, "lattice_angstrom": [[2.105, -5.296, 0.000], [2.105, 5.296, 0.000], [0.000, 0.000, 14.089]], "species": ["Pr", "Pr", "Pr", "Pr", "Pr", "Pr", "Zn", "Zn", "Rh", "Rh", "Rh", "Rh", "Rh", "Rh"], "fractional_positions": [[0.022, 0.978, 0.750], [0.299, 0.701, 0.604], [0.299, 0.701, 0.896], [0.701, 0.299, 0.104], [0.701, 0.299, 0.396], [0.978, 0.022, 0.250], [0.000, 0.000, 0.000], [0.000, 0.000, 0.500], [0.257, 0.743, 0.250], [0.415, 0.585, 0.089], [0.415, 0.585, 0.411], [0.585, 0.415, 0.589], [0.585, 0.415, 0.911], [0.743, 0.257, 0.750]]}

No. 9
{"formula": "PrZn6Rh2", "functional": "PBE-GGA", "state": "optimized geometry", "space_group": "Immm, No. 71", "formation_enthalpy_0k_kj_per_mol_atoms": -21.02, "dos_ef_per_ev_cell": 6.4, "final_energy_ev_per_cell": -29.1, "lattice_angstrom": [[-2.200, 3.064, 5.844], [2.200, -3.064, 5.844], [2.200, 3.064, -5.844]], "species": ["Pr", "Zn", "Zn", "Zn", "Zn", "Zn", "Zn", "Rh", "Rh"], "fractional_positions": [[0.000, 0.000, 0.000], [0.067, 0.295, 0.772], [0.310, 0.500, 0.810], [0.477, 0.705, 0.772], [0.523, 0.295, 0.228], [0.690, 0.500, 0.190], [0.933, 0.705, 0.228], [0.380, 0.880, 0.500], [0.620, 0.120, 0.500]]}

No. 10
{"formula": "PrZn4Rh", "functional": "PBE-GGA", "state": "optimized geometry", "de_polymorph_ev_per_fu": 0.448, "space_group": "Cmcm, No. 63", "formation_enthalpy_0k_kj_per_mol_atoms": -29.64, "dos_ef_per_ev_cell": 4.8, "final_energy_ev_per_cell": -38.1, "lattice_angstrom": [[2.383, -6.870, 0.000], [2.383, 6.870, 0.000], [0.000, 0.000, 6.838]], "species": ["Pr", "Pr", "Zn", "Zn", "Zn", "Zn", "Zn", "Zn", "Zn", "Zn", "Rh", "Rh"], "fractional_positions": [[0.110, 0.890, 0.750], [0.890, 0.110, 0.250], [0.102, 0.898, 0.250], [0.275, 0.725, 0.073], [0.275, 0.725, 0.427], [0.500, 0.500, 0.000], [0.500, 0.500, 0.500], [0.725, 0.275, 0.573], [0.725, 0.275, 0.927], [0.898, 0.102, 0.750], [0.360, 0.640, 0.750], [0.640, 0.360, 0.250]]}

No. 11
{"formula": "Pr8Zn2Rh", "functional": "PBE-GGA", "state": "optimized geometry", "de_polymorph_ev_per_fu": 1.142, "space_group": "Immm, No. 71", "formation_enthalpy_0k_kj_per_mol_atoms": -9.67, "dos_ef_per_ev_cell": 12.6, "final_energy_ev_per_cell": -49.2, "lattice_angstrom": [[-2.493, 4.444, 7.293], [2.493, -4.444, 7.293], [2.493, 4.444, -7.293]], "species": ["Pr", "Pr", "Pr", "Pr", "Pr", "Pr", "Pr", "Pr", "Zn", "Zn", "Rh"], "fractional_positions": [[0.120, 0.340, 0.780], [0.121, 0.121, 0.000], [0.334, 0.000, 0.334], [0.439, 0.660, 0.780], [0.561, 0.340, 0.220], [0.666, 0.000, 0.666], [0.879, 0.879, 0.000], [0.880, 0.660, 0.220], [0.301, 0.801, 0.500], [0.699, 0.199, 0.500], [0.000, 0.500, 0.500]]}

No. 12
{"formula": "Pr2Zn2Rh", "functional": "PBE-GGA", "state": "optimized geometry", "de_polymorph_ev_per_fu": 0.000, "space_group": "C2/m, No. 12", "formation_enthalpy_0k_kj_per_mol_atoms": -46.99, "dos_ef_per_ev_cell": 7.0, "final_energy_ev_per_cell": -43.8, "lattice_angstrom": [[5.483, -2.014, 0.000], [5.483, 2.014, 0.000], [-4.015, 0.000, 10.552]], "species": ["Pr", "Pr", "Pr", "Pr", "Zn", "Zn", "Zn", "Zn", "Rh", "Rh"], "fractional_positions": [[0.004, 0.004, 0.339], [0.195, 0.195, 0.123], [0.805, 0.805, 0.877], [0.996, 0.996, 0.661], [0.323, 0.323, 0.451], [0.477, 0.477, 0.110], [0.523, 0.523, 0.890], [0.677, 0.677, 0.549], [0.302, 0.302, 0.688], [0.698, 0.698, 0.312]]}

No. 13
{"formula": "Pr4ZnRh", "functional": "PBE-GGA", "state": "optimized geometry", "de_polymorph_ev_per_fu": 0.372, "space_group": "C2/c, No. 15", "formation_enthalpy_0k_kj_per_mol_atoms": -29.00, "dos_ef_per_ev_cell": 13.7, "final_energy_ev_per_cell": -59.1, "lattice_angstrom": [[4.485, -6.998, 0.000], [4.485, 6.998, 0.000], [-2.901, 0.000, 5.531]], "species": ["Pr", "Pr", "Pr", "Pr", "Pr", "Pr", "Pr", "Pr", "Zn", "Zn", "Rh", "Rh"], "fractional_positions": [[0.067, 0.694, 0.917], [0.216, 0.354, 0.680], [0.306, 0.933, 0.583], [0.354, 0.216, 0.180], [0.646, 0.784, 0.820], [0.694, 0.067, 0.417], [0.784, 0.646, 0.320], [0.933, 0.306, 0.083], [0.376, 0.624, 0.250], [0.624, 0.376, 0.750], [0.002, 0.998, 0.750], [0.998, 0.002, 0.250]]}

No. 14
{"formula": "PrZnRh3", "functional": "PBE-GGA", "state": "optimized geometry", "space_group": "Cmcm, No. 63", "formation_enthalpy_0k_kj_per_mol_atoms": -2.71, "dos_ef_per_ev_cell": 11.1, "final_energy_ev_per_cell": -56.5, "lattice_angstrom": [[2.541, -8.452, 0.000], [2.541, 8.452, 0.000], [0.000, 0.000, 4.858]], "species": ["Pr", "Pr", "Zn", "Zn", "Rh", "Rh", "Rh", "Rh", "Rh", "Rh"], "fractional_positions": [[0.085, 0.915, 0.750], [0.915, 0.085, 0.250], [0.360, 0.640, 0.750], [0.640, 0.360, 0.250], [0.036, 0.490, 0.250], [0.490, 0.036, 0.750], [0.500, 0.500, 0.000], [0.500, 0.500, 0.500], [0.510, 0.964, 0.250], [0.964, 0.510, 0.750]]}

No. 15
{"formula": "Pr3Zn2Rh3", "functional": "PBE-GGA", "state": "optimized geometry", "de_polymorph_ev_per_fu": 0.000, "space_group": "Cmcm, No. 63", "formation_enthalpy_0k_kj_per_mol_atoms": -57.55, "dos_ef_per_ev_cell": 10.3, "final_energy_ev_per_cell": -87.4, "lattice_angstrom": [[2.069, -5.920, 0.000], [2.069, 5.920, 0.000], [0.000, 0.000, 14.237]], "species": ["Pr", "Pr", "Pr", "Pr", "Pr", "Pr", "Zn", "Zn", "Zn", "Zn", "Rh", "Rh", "Rh", "Rh", "Rh", "Rh"], "fractional_positions": [[0.074, 0.926, 0.611], [0.074, 0.926, 0.889], [0.345, 0.655, 0.750], [0.655, 0.345, 0.250], [0.926, 0.074, 0.111], [0.926, 0.074, 0.389], [0.225, 0.775, 0.080], [0.225, 0.775, 0.420], [0.775, 0.225, 0.580], [0.775, 0.225, 0.920], [0.336, 0.664, 0.250], [0.397, 0.603, 0.545], [0.397, 0.603, 0.955], [0.603, 0.397, 0.045], [0.603, 0.397, 0.455], [0.664, 0.336, 0.750]]}

No. 16
{"formula": "PrZn9Rh2", "functional": "PBE-GGA", "state": "optimized geometry", "de_polymorph_ev_per_fu": 0.000, "space_group": "I4_1/amd, No. 141", "formation_enthalpy_0k_kj_per_mol_atoms": -33.41, "dos_ef_per_ev_cell": 12.8, "final_energy_ev_per_cell": -70.2, "lattice_angstrom": [[-5.276, 5.276, 3.493], [5.276, -5.276, 3.493], [5.276, 5.276, -3.493]], "species": ["Pr", "Pr", "Zn", "Zn", "Zn", "Zn", "Zn", "Zn", "Zn", "Zn", "Zn", "Zn", "Zn", "Zn", "Zn", "Zn", "Zn", "Zn", "Zn", "Zn", "Rh", "Rh", "Rh", "Rh"], "fractional_positions": [[0.375, 0.625, 0.750], [0.625, 0.375, 0.250], [0.125, 0.875, 0.250], [0.140, 0.561, 0.335], [0.140, 0.805, 0.579], [0.195, 0.274, 0.335], [0.195, 0.860, 0.921], [0.274, 0.195, 0.835], [0.274, 0.439, 0.079], [0.439, 0.274, 0.579], [0.439, 0.860, 0.165], [0.561, 0.140, 0.835], [0.561, 0.726, 0.421], [0.726, 0.561, 0.921], [0.726, 0.805, 0.165], [0.805, 0.140, 0.079], [0.805, 0.726, 0.665], [0.860, 0.195, 0.421], [0.860, 0.439, 0.665], [0.875, 0.125, 0.750], [0.000, 0.000, 0.000], [0.000, 0.000, 0.500], [0.000, 0.500, 0.000], [0.500, 0.000, 0.500]]}